Compound: Cr2CoBrO
Source: the Alexandria database
Functional: GGA+U
Structure: relaxed

The structure in POSCAR format:
```
Cr2CoBrO
1.0
4.967 0.000 0.000
0.000 4.967 0.000
0.000 0.000 4.299
Cr Co Br O
2 1 1 1
Cartesian
0.000 2.484 0.000 Cr
2.484 0.000 0.000 Cr
0.000 0.000 0.000 Co
0.000 0.000 2.149 Br
2.484 2.484 2.149 O
```

Computed properties:
VASP energy   -4.37 eV per atom
DOS(E_F)   0.69 states/eV/atom
Volume   106.08 Å³ per cell